Compound: TlCu2As
Source: Alexandria via LeMat-Bulk
Functional: GGA-PBE
Structure: optimized geometry

Lattice parameters (Å, degrees): 6.627 6.627 6.627 90.00 90.00 90.00
Space group F-43m (No. 216)
One atom of each set of equivalent atoms:
Tl1 0.000 0.000 0.000 [4 per cell]
Cu1 0.000 0.000 0.500 [4 per cell]
Cu2 0.250 0.250 0.250 [4 per cell]
As1 0.250 0.250 0.750 [4 per cell]

Results
D(E_F), states/eV/f.u.: 2.12
Formation energy, eV/atom: 0.480